DFT (GGA-PBE) results for an optimized crystal structure of PtSe.

Lattice parameters (Å, degrees): 6.6191 6.6191 5.4128 65.83 65.83 32.87
Atoms (fractional coordinates):
Pt  0.3022  0.3022  0.8366
Pt  0.6422  0.6422  0.9966
Pt  0.6300  0.6300  0.5090
Se  0.0063  0.0063  0.1325
Se  0.9789  0.9789  0.6605
Se  0.2736  0.2736  0.3648

Results
Calculated volume in Å³ per atom: 19.397
VASP energy in eV for the cell shown: -29.40
Formation energy (no corrections) in eV per atom: -0.137